Record 1
Density functional theory data (PBEsol) for an optimized crystal structure of AlCdAu2.

Output
- Relative energy among the computed polymorphs: 0.20 eV/f.u.
- Raw total energy: -3.522 eV/atom
- Spin magnetization: 0.000 μB per formula unit
- Energy of formation: -0.238 eV/atom

Cell: 3.0284 4.5726 4.9558 Å, 90.00 90.00 90.00°
Element x y z (fractional)
Au: 0.0000 0.0000 0.0756
Au: 0.0000 0.5000 0.6986
Al: 0.5000 0.5000 0.1623
Cd: 0.5000 0.0000 0.5635


Record 2
Density functional theory data (PBEsol) for an optimized crystal structure of Be3Co.

Output
- Raw total energy: -5.151 eV/atom
- Spin magnetization: 0.000 μB per formula unit
- Energy of formation: -0.216 eV/atom

Cell: 3.5842 3.5842 3.5842 Å, 60.00 60.00 60.00°
Element x y z (fractional)
Be: 0.2500 0.2500 0.2500
Be: 0.5000 0.5000 0.5000
Be: 0.7500 0.7500 0.7500
Co: 0.0000 0.0000 0.0000


Record 3
Density functional theory data (PBEsol) for an optimized crystal structure of YMn2.

Output
- Raw total energy: -8.269 eV/atom
- Spin magnetization: 6.354 μB per formula unit
- Energy of formation: 0.512 eV/atom

Cell: 3.0940 3.6570 5.3431 Å, 110.01 106.83 90.00°
Last column: magnetic moment on the atom in μB.
Element x y z (fractional)
Mn: 0.8087 0.8087 0.6173  3.18
Mn: 0.1913 0.1913 0.3827  3.18
Y: 0.5000 0.5000 0.0000  -0.19


Record 4
Density functional theory data (PBEsol) for an optimized crystal structure of La4CoPb.

Output
- Raw total energy: -4.994 eV/atom
- Spin magnetization: 1.549 μB per formula unit
- Energy of formation: 0.526 eV/atom

Cell: 6.2692 6.2692 6.2692 Å, 60.00 60.00 60.00°
Last column: magnetic moment on the atom in μB.
Element x y z (fractional)
Co: 0.0000 0.0000 0.0000  1.79
La: 0.3754 0.3754 0.3754  -0.01
La: 0.3754 0.3754 0.8739  -0.01
La: 0.8739 0.3754 0.3754  -0.01
La: 0.3754 0.8739 0.3754  -0.01
Pb: 0.7500 0.7500 0.7500  0.01


Record 5
Density functional theory data (PBEsol) for an optimized crystal structure of Ti2AlIr.

Output
- Raw total energy: -7.762 eV/atom
- Spin magnetization: 0.001 μB per formula unit
- Energy of formation: -0.122 eV/atom

Cell: 5.1640 5.7282 5.7282 Å, 78.28 63.21 63.21°
Element x y z (fractional)
Ir: 0.0000 0.0000 0.0000
Ir: 0.7500 0.5000 0.5000
Al: 0.5000 0.0000 0.0000
Al: 0.2500 0.5000 0.5000
Ti: 0.8750 0.0422 0.4578
Ti: 0.3750 0.9578 0.5422
Ti: 0.6672 0.4578 0.9578
Ti: 0.0828 0.5422 0.0422


Record 6
Density functional theory data (PBEsol) for an optimized crystal structure of TaCd3Pt.

Output
- Raw total energy: -2.823 eV/atom
- Spin magnetization: 0.000 μB per formula unit
- Energy of formation: 1.798 eV/atom

Cell: 5.1844 5.1844 5.1844 Å, 90.00 90.00 90.00°
Element x y z (fractional)
Cd: 0.0000 0.5000 0.0000
Cd: 0.0000 0.0000 0.5000
Cd: 0.5000 0.0000 0.0000
Pt: 0.5000 0.5000 0.5000
Ta: 0.0000 0.0000 0.0000


Record 7
Density functional theory data (PBEsol) for an optimized crystal structure of TcNi2Pt.

Output
- Relative energy among the computed polymorphs: 0.15 eV/f.u.
- Raw total energy: -7.687 eV/atom
- Spin magnetization: 0.000 μB per formula unit
- Energy of formation: -0.050 eV/atom

Cell: 2.6230 4.4083 4.6170 Å, 99.23 90.00 107.31°
Element x y z (fractional)
Ni: 0.7516 0.5031 0.7685
Ni: 0.2484 0.4969 0.2315
Tc: 0.5000 0.0000 0.0000
Pt: 0.0000 0.0000 0.5000


Record 8
Density functional theory data (PBEsol) for an optimized crystal structure of Ce3Al12Ru4.

Output
- Raw total energy: -6.374 eV/atom
- Spin magnetization: 0.001 μB per formula unit
- Energy of formation: -0.607 eV/atom

Cell: 8.8074 8.8074 9.4526 Å, 90.00 90.00 120.00°
Element x y z (fractional)
Ce: 0.3874 0.1937 0.7500
Ce: 0.1937 0.8063 0.2500
Ce: 0.1937 0.3874 0.2500
Ce: 0.8063 0.6126 0.7500
Ce: 0.8063 0.1937 0.7500
Ce: 0.6126 0.8063 0.2500
Al: 0.3333 0.6667 0.0159
Al: 0.6667 0.3333 0.5159
Al: 0.6667 0.3333 0.9841
Al: 0.3333 0.6667 0.4841
Al: 0.6758 0.8379 0.9226
Al: 0.1621 0.3242 0.9226
Al: 0.1621 0.8379 0.9226
Al: 0.8379 0.1621 0.4226
Al: 0.8379 0.1621 0.0774
Al: 0.3242 0.1621 0.4226
Al: 0.8379 0.6758 0.4226
Al: 0.1621 0.3242 0.5774
Al: 0.6758 0.8379 0.5774
Al: 0.3242 0.1621 0.0774
Al: 0.0000 0.0000 0.2500
Al: 0.0000 0.0000 0.7500
Al: 0.8766 0.4383 0.2500
Al: 0.4383 0.5617 0.7500
Al: 0.4383 0.8766 0.7500
Al: 0.5617 0.1234 0.2500
Al: 0.5617 0.4383 0.2500
Al: 0.1234 0.5617 0.7500
Al: 0.1621 0.8379 0.5774
Al: 0.8379 0.6758 0.0774
Ru: 0.0000 0.0000 0.0000
Ru: 0.0000 0.0000 0.5000
Ru: 0.0000 0.5000 0.0000
Ru: 0.5000 0.5000 0.5000
Ru: 0.5000 0.0000 0.5000
Ru: 0.5000 0.0000 0.0000
Ru: 0.5000 0.5000 0.0000
Ru: 0.0000 0.5000 0.5000


Record 9
Density functional theory data (PBEsol) for an optimized crystal structure of Eu3Mg.

Output
- Relative energy among the computed polymorphs: 0.12 eV/f.u.
- Raw total energy: -8.376 eV/atom
- Spin magnetization: 22.890 μB per formula unit
- Energy of formation: -0.025 eV/atom

Cell: 5.9032 7.3101 7.3101 Å, 120.00 90.00 90.00°
Last column: magnetic moment on the atom in μB.
Element x y z (fractional)
Eu: 0.2500 0.6590 0.8295  7.03
Eu: 0.2500 0.1705 0.8295  7.03
Eu: 0.2500 0.1705 0.3410  7.03
Eu: 0.7500 0.8295 0.6590  7.03
Eu: 0.7500 0.8295 0.1705  7.03
Eu: 0.7500 0.3410 0.1705  7.03
Mg: 0.2500 0.6667 0.3333  0.01
Mg: 0.7500 0.3333 0.6667  0.01


Record 10
Density functional theory data (PBEsol) for an optimized crystal structure of AsBrCl2.

Output
- Relative energy among the computed polymorphs: 0.00 eV/f.u.
- Raw formation energy: -51.8 kJ per mole of atoms
- Raw total energy: -3.285 eV/atom
- Spin magnetization: 0.000 μB per formula unit

Cell: 3.6884 6.1463 6.7146 Å, 111.93 90.00 90.00°
Element x y z (fractional)
As: 0.0000 0.4471 0.4261
Br: 0.5000 0.3203 0.6452
Cl: 0.0000 0.1147 0.1562
Cl: 0.5000 0.6178 0.2725


Record 11
Density functional theory data (PBEsol) for an optimized crystal structure of Sc2TiGa2.

Output
- Raw total energy: -6.100 eV/atom
- Spin magnetization: 0.474 μB per formula unit
- Energy of formation: -0.458 eV/atom

Cell: 3.8787 6.9433 6.9433 Å, 90.00 90.00 90.00°
Last column: magnetic moment on the atom in μB.
Element x y z (fractional)
Sc: 0.5000 0.1753 0.6753  0.02
Sc: 0.5000 0.6753 0.8247  0.02
Sc: 0.5000 0.8247 0.3247  0.02
Sc: 0.5000 0.3247 0.1753  0.02
Ga: 0.0000 0.3710 0.8710  0.00
Ga: 0.0000 0.8710 0.6290  0.00
Ga: 0.0000 0.6290 0.1290  0.00
Ga: 0.0000 0.1290 0.3710  0.00
Ti: 0.0000 0.0000 0.0000  0.31
Ti: 0.0000 0.5000 0.5000  0.31


Record 12
Density functional theory data (PBEsol) for an optimized crystal structure of LaTc2P.

Output
- Raw total energy: -8.924 eV/atom
- Spin magnetization: 0.000 μB per formula unit
- Energy of formation: -0.506 eV/atom

Cell: 4.1220 4.1220 5.8320 Å, 69.30 69.30 60.00°
Element x y z (fractional)
P: 0.7034 0.7034 0.8898
Tc: 0.9914 0.9914 0.0259
Tc: 0.2953 0.2953 0.1141
La: 0.4900 0.4900 0.5301


Record 13
Density functional theory data (PBEsol) for an optimized crystal structure of ScMoAu2.

Output
- Relative energy among the computed polymorphs: 1.08 eV/f.u.
- Raw total energy: -6.472 eV/atom
- Spin magnetization: 0.000 μB per formula unit
- Energy of formation: 0.084 eV/atom

Cell: 2.9502 2.9502 9.3671 Å, 80.94 80.94 60.00°
Element x y z (fractional)
Au: 0.9991 0.9991 0.0026
Au: 0.7524 0.7524 0.7428
Mo: 0.4991 0.4991 0.5028
Sc: 0.2494 0.2494 0.2518


Record 14
Density functional theory data (PBEsol) for an optimized crystal structure of RhIN2.

Output
- Raw formation energy: 99.0 kJ per mole of atoms
- Raw total energy: -5.714 eV/atom
- Spin magnetization: 0.000 μB per formula unit

Cell: 5.6954 5.7972 5.6954 Å, 60.58 90.00 119.42°
Element x y z (fractional)
I: 0.7500 0.5000 0.7500
I: 0.0000 0.0000 0.0000
Rh: 0.2500 0.5000 0.2500
Rh: 0.5000 0.0000 0.5000
N: 0.2719 0.7500 0.8750
N: 0.4781 0.7500 0.3750
N: 0.3750 0.2500 0.2719
N: 0.8750 0.2500 0.4781


Record 15
Density functional theory data (PBEsol) for an optimized crystal structure of NbSb3O8.

Output
- Raw formation energy: -167.4 kJ per mole of atoms
- Raw total energy: -7.276 eV/atom
- Spin magnetization: 0.000 μB per formula unit

Cell: 4.8911 5.5217 11.7892 Å, 90.00 89.66 90.00°
Element x y z (fractional)
Nb: 0.4981 0.6229 0.5757
Nb: 0.9981 0.3771 0.0757
Sb: 0.4909 0.8788 0.0695
Sb: 0.9909 0.1212 0.5695
Sb: 0.5418 0.2248 0.8222
Sb: 0.4660 0.2836 0.3244
Sb: 0.0418 0.7752 0.3222
Sb: 0.9660 0.7164 0.8244
O: 0.6647 0.8974 0.9107
O: 0.3361 0.6004 0.4125
O: 0.1647 0.1026 0.4107
O: 0.8361 0.3996 0.9125
O: 0.3371 0.9370 0.2247
O: 0.6656 0.5629 0.7239
O: 0.8371 0.0630 0.7247
O: 0.1656 0.4371 0.2239
O: 0.7906 0.0996 0.1190
O: 0.2061 0.3962 0.6237
O: 0.2906 0.9004 0.6190
O: 0.7061 0.6038 0.1237
O: 0.3041 0.1746 0.0119
O: 0.6991 0.3271 0.5079
O: 0.8041 0.8254 0.5119
O: 0.1991 0.6729 0.0079


Record 16
Density functional theory data (PBEsol) for an optimized crystal structure of ZnH10C4N6Cl2O4.

Output
- Raw total energy: -6.231 eV/atom
- Spin magnetization: 0.000 μB per formula unit

Cell: 7.3067 7.9847 9.6483 Å, 80.72 90.00 90.00°
Element x y z (fractional)
Zn: 0.5000 0.5000 0.5000
Zn: 0.0000 0.0000 0.0000
H: 0.8484 0.4690 0.2012
H: 0.3484 0.0310 0.2988
H: 0.1516 0.5310 0.7988
H: 0.6516 0.9690 0.7012
H: 0.0657 0.3763 0.2029
H: 0.5657 0.1237 0.2971
H: 0.9343 0.6237 0.7971
H: 0.4343 0.8763 0.7029
H: 0.6004 0.8768 0.0331
H: 0.1004 0.6232 0.4669
H: 0.3996 0.1232 0.9669
H: 0.8996 0.3768 0.5331
H: 0.5721 0.6619 0.1171
H: 0.0721 0.8381 0.3829
H: 0.4279 0.3381 0.8829
H: 0.9279 0.1619 0.6171
H: 0.3156 0.5500 0.1615
H: 0.8156 0.9500 0.3385
H: 0.6844 0.4500 0.8385
H: 0.1844 0.0500 0.6615
C: 0.0488 0.6370 0.1260
C: 0.5488 0.8630 0.3740
C: 0.9512 0.3630 0.8740
C: 0.4512 0.1370 0.6260
C: 0.3373 0.7911 0.0539
C: 0.8373 0.7089 0.4461
C: 0.6627 0.2089 0.9461
C: 0.1627 0.2911 0.5539
N: 0.2367 0.6507 0.1120
N: 0.7367 0.8493 0.3880
N: 0.7633 0.3493 0.8880
N: 0.2633 0.1507 0.6120
N: 0.9868 0.4839 0.1819
N: 0.4868 0.0161 0.3181
N: 0.0132 0.5161 0.8181
N: 0.5132 0.9839 0.6819
N: 0.5175 0.7721 0.0627
N: 0.0175 0.7279 0.4373
N: 0.4825 0.2279 0.9373
N: 0.9825 0.2721 0.5627
Cl: 0.5571 0.4161 0.2609
Cl: 0.0571 0.0839 0.2391
Cl: 0.4429 0.5839 0.7391
Cl: 0.9429 0.9161 0.7609
O: 0.9393 0.7586 0.0912
O: 0.4393 0.7414 0.4088
O: 0.0607 0.2414 0.9088
O: 0.5607 0.2586 0.5912
O: 0.2663 0.9290 0.9946
O: 0.7663 0.5710 0.5054
O: 0.7337 0.0710 0.0054
O: 0.2337 0.4290 0.4946


Record 17
Density functional theory data (PBEsol) for an optimized crystal structure of SnSb2PdBr.

Output
- Raw formation energy: 19.2 kJ per mole of atoms
- Raw total energy: -4.042 eV/atom
- Spin magnetization: 0.013 μB per formula unit

Cell: 5.0689 5.0689 5.5377 Å, 90.00 90.00 90.00°
Element x y z (fractional)
Sb: 0.0000 0.5000 0.0000
Sb: 0.5000 0.0000 0.0000
Br: 0.5000 0.5000 0.5000
Sn: 0.0000 0.0000 0.5000
Pd: 0.0000 0.0000 0.0000


Record 18
Density functional theory data (PBEsol) for an optimized crystal structure of LiBe2CuMo.

Output
- Raw total energy: -4.068 eV/atom
- Spin magnetization: 0.000 μB per formula unit
- Energy of formation: 1.146 eV/atom

Cell: 3.7874 3.7874 4.1042 Å, 90.00 90.00 90.00°
Element x y z (fractional)
Be: 0.0000 0.5000 0.0000
Be: 0.5000 0.0000 0.0000
Mo: 0.0000 0.0000 0.5000
Cu: 0.5000 0.5000 0.5000
Li: 0.0000 0.0000 0.0000


Record 19
Density functional theory data (PBEsol) for an optimized crystal structure of Y2Mg.

Output
- Raw total energy: -5.195 eV/atom
- Spin magnetization: 0.000 μB per formula unit
- Energy of formation: -0.075 eV/atom

Cell: 3.6629 5.4066 8.6874 Å, 90.00 102.17 90.00°
Element x y z (fractional)
Y: 0.0914 0.2500 0.1828
Y: 0.9086 0.7500 0.8172
Y: 0.7731 0.2500 0.5462
Y: 0.2269 0.7500 0.4538
Mg: 0.4331 0.2500 0.8662
Mg: 0.5669 0.7500 0.1338


Record 20
Density functional theory data (PBEsol) for an optimized crystal structure of SiSb2Rh.

Output
- Raw formation energy: -15.3 kJ per mole of atoms
- Raw total energy: -5.908 eV/atom
- Spin magnetization: 0.000 μB per formula unit

Cell: 3.2208 3.2208 7.5942 Å, 90.00 90.00 90.00°
Element x y z (fractional)
Rh: 0.5000 0.5000 0.6924
Sb: 0.0000 0.0000 0.9354
Sb: 0.5000 0.5000 0.3171
Si: 0.0000 0.0000 0.5551


Record 21
Density functional theory data (PBEsol) for an optimized crystal structure of Cr2TcMo.

Output
- Relative energy among the computed polymorphs: 0.00 eV/f.u.
- Raw total energy: -10.808 eV/atom
- Spin magnetization: 0.000 μB per formula unit
- Energy of formation: 0.072 eV/atom

Cell: 2.9571 4.1844 4.1844 Å, 90.00 90.00 90.00°
Element x y z (fractional)
Cr: 0.0000 0.0000 0.5000
Cr: 0.0000 0.5000 0.0000
Mo: 0.5000 0.5000 0.5000
Tc: 0.5000 0.0000 0.0000


Record 22
Density functional theory data (PBEsol) for an optimized crystal structure of AlCd3Ru.

Output
- Relative energy among the computed polymorphs: 2.24 eV/f.u.
- Raw total energy: -2.293 eV/atom
- Spin magnetization: 2.224 μB per formula unit
- Energy of formation: 1.278 eV/atom

Cell: 4.8640 4.8640 4.8640 Å, 90.00 90.00 90.00°
Last column: magnetic moment on the atom in μB.
Element x y z (fractional)
Ru: 0.5000 0.5000 0.5000  2.03
Al: 0.0000 0.0000 0.0000  0.03
Cd: 0.0000 0.5000 0.0000  0.00
Cd: 0.0000 0.0000 0.5000  0.00
Cd: 0.5000 0.0000 0.0000  0.00


Record 23
Density functional theory data (PBEsol) for an optimized crystal structure of In2HgBr.

Output
- Relative energy among the computed polymorphs: 0.26 eV/f.u.
- Raw formation energy: -17.9 kJ per mole of atoms
- Raw total energy: -2.286 eV/atom
- Spin magnetization: 0.000 μB per formula unit

Cell: 4.8088 4.8088 5.7213 Å, 114.85 114.85 90.00°
Element x y z (fractional)
Hg: 0.0000 0.0000 0.0000
Br: 0.5000 0.5000 0.0000
In: 0.7500 0.2500 0.5000
In: 0.2500 0.7500 0.5000